{"formula": "MnFeNF2", "functional": "PBE+U", "state": "relaxed", "relative_energy_ev_per_atom": 0.2225, "space_group": "P4/mmm", "volume_a3_per_atom": 12.674, "lattice": [[-2.859, 1.928, -2.015], [-2.457, -3.107, 0.512], [-1.313, 1.598, 3.392]], "species": ["N", "F", "Fe", "F", "Mn"], "fractional_positions": [[0.000, 0.000, 0.500], [0.000, 0.500, 0.000], [0.500, 0.500, 0.500], [0.500, 0.000, 0.000], [0.000, 0.000, 0.000]]}